The following is a GGA-PBE calculation of a geometry-optimized BaSnN2 structure, from Alexandria via LeMat-Bulk.

Cell: 7.255 7.255 7.948 Å, 90.00 90.00 129.00°
Atoms (fractional coordinates):
Ba: 0.178 0.822 0.916
Ba: 0.322 0.678 0.416
Ba: 0.678 0.322 0.584
Ba: 0.822 0.178 0.084
Sn: 0.064 0.936 0.349
Sn: 0.436 0.564 0.849
Sn: 0.564 0.436 0.151
Sn: 0.936 0.064 0.651
N: 0.096 0.904 0.612
N: 0.100 0.400 0.750
N: 0.400 0.100 0.250
N: 0.404 0.596 0.112
N: 0.596 0.404 0.888
N: 0.600 0.900 0.750
N: 0.900 0.600 0.250
N: 0.904 0.096 0.388

Values from the calculation:
V in Å³/f.u.: 81.3
Energy relative to the elements, uncorrected in eV/atom: -0.211